[1]
Here is a relaxed structure of TbCd2TcO6 from the Alexandria database. Energies are from PBE.

The structure in POSCAR format:
```
TbCd2TcO6
1.0
4.657 0.000 0.000
0.000 5.729 0.000
0.000 0.000 5.729
Cd Tc O Tb
2 1 6 1
Direct
0.988 0.500 0.000 Cd
0.988 0.000 0.500 Cd
0.583 0.000 0.000 Tc
0.725 0.776 0.224 O
0.725 0.224 0.224 O
0.152 0.500 0.500 O
0.216 0.000 0.000 O
0.725 0.776 0.776 O
0.725 0.224 0.776 O
0.620 0.500 0.500 Tb
```

space group: P4mm
total energy: -6.25 eV per atom
volume: 15.29 Å³ per atom

***

[2]
Here is a relaxed structure of KSiTeI2 from the Alexandria database. Energies are from PBE.

The structure in POSCAR format:
```
KSiTeI2
1.0
5.806 0.000 0.000
0.000 5.806 0.000
0.000 0.000 5.423
Si Te K I
1 1 1 2
Direct
0.000 0.000 0.000 Si
0.000 0.000 0.500 Te
0.500 0.500 0.500 K
0.000 0.500 0.000 I
0.500 0.000 0.000 I
```

space group: P4/mmm
energy above the most stable polymorph in this dataset: 0 meV per atom
volume: 36.57 Å³ per atom

***

[3]
Here is a relaxed structure of Li5SnHg8 from the Alexandria database. Energies are from PBE.

The structure in POSCAR format:
```
Li5SnHg8
1.0
7.361 -0.094 0.162
-2.580 6.895 -0.162
-2.202 -3.533 6.074
Li Hg Sn
5 8 1
Direct
0.774 0.651 0.689 Li
0.877 0.915 0.226 Li
0.500 0.000 0.500 Li
0.038 0.349 0.123 Li
0.311 0.085 0.962 Li
0.327 0.258 0.380 Hg
0.751 0.258 0.356 Hg
0.644 0.394 0.901 Hg
0.620 0.946 0.878 Hg
0.507 0.606 0.249 Hg
0.932 0.054 0.673 Hg
0.122 0.742 0.068 Hg
0.099 0.742 0.493 Hg
0.250 0.500 0.750 Sn
```

ΔH_f (0 K): -2.95 eV per formula unit
space group: I-4
volume: 21.89 Å³ per atom

***

[4]
Here is a relaxed structure of ErPaTcSn from the Alexandria database. Energies are from PBE.

The structure in POSCAR format:
```
ErPaTcSn
1.0
5.073 0.000 0.000
2.536 4.393 0.000
2.536 1.464 4.142
Er Sn Tc Pa
1 1 1 1
Direct
0.500 0.500 0.500 Er
0.250 0.250 0.250 Sn
0.750 0.750 0.750 Tc
0.000 0.000 0.000 Pa
```

ΔH_f (0 K): -0.20 eV per formula unit
space group: F-43m
volume: 23.07 Å³ per atom